Material: Zn2NiF
Method: DFT, PBE with a Hubbard U
State: optimized geometry

- uncorrected energy (Ha/atom) = -0.0715
- relative energy among the computed polymorphs (meV per atom) = 0

Geometry as POSCAR:
```
Zn2NiF
1.0
-1.222 5.870 1.526
-5.583 -0.481 -2.622
-4.465 1.845 1.869
F Zn Ni
2 4 2
Direct
0.250 0.750 0.500 F
0.500 0.500 0.000 F
0.598 0.125 0.250 Zn
0.375 0.402 0.750 Zn
0.875 0.848 0.750 Zn
0.152 0.625 0.250 Zn
0.750 0.250 0.500 Ni
0.000 0.000 0.000 Ni
```